# NdTh2Pt

A geometry-optimized NdTh2Pt structure (PBE, Alexandria via LeMat-Bulk).

Output
E_form, eV per atom: -0.59
Distance to the lowest polymorph of the same formula, kJ per mole of atoms: 0.0

CIF file:
```
data_NdTh2Pt
_symmetry_space_group_name_H-M 'C m c m'
_symmetry_Int_Tables_number 63
_symmetry_space_group_name_Hall '-C 2c 2'
_cell_length_a 3.829
_cell_length_b 11.989
_cell_length_c 10.204
_cell_angle_alpha 90.00
_cell_angle_beta 90.00
_cell_angle_gamma 90.00
loop_
_atom_site_label
_atom_site_type_symbol
_atom_site_fract_x
_atom_site_fract_y
_atom_site_fract_z
_atom_site_occupancy
Nd1 Nd 0.000 0.082 0.250 1
Th1 Th 0.000 0.363 0.052 1
Pt1 Pt 0.000 0.211 0.750 1
```

***

# NdTh2Pt

A geometry-optimized NdTh2Pt structure (PBE, Alexandria via LeMat-Bulk).

Output
E_form, eV per atom: -0.19
Distance to the lowest polymorph of the same formula, kJ per mole of atoms: 39.0

CIF file:
```
data_NdTh2Pt
_symmetry_space_group_name_H-M 'R -3 m'
_symmetry_Int_Tables_number 166
_symmetry_space_group_name_Hall '-R 3 2"'
_cell_length_a 3.8142
_cell_length_b 3.8142
_cell_length_c 31.4736
_cell_angle_alpha 90.00
_cell_angle_beta 90.00
_cell_angle_gamma 120.00
loop_
_atom_site_label
_atom_site_type_symbol
_atom_site_fract_x
_atom_site_fract_y
_atom_site_fract_z
_atom_site_occupancy
Nd1 Nd 0.0000 0.0000 0.0000 1
Th1 Th 0.0000 0.0000 0.1067 1
Pt1 Pt 0.0000 0.0000 0.5000 1
```

***

# NdTh3Pt4

A geometry-optimized NdTh3Pt4 structure (PBE, Alexandria via LeMat-Bulk).

Output
E_form, eV per atom: -1.18

CIF file:
```
data_NdTh3Pt4
_symmetry_space_group_name_H-M 'P 1 2/c 1'
_symmetry_Int_Tables_number 13
_cell_length_a 7.260
_cell_length_b 8.525
_cell_length_c 7.200
_cell_angle_alpha 90.00
_cell_angle_beta 110.04
_cell_angle_gamma 90.00
loop_
_symmetry_equiv_pos_as_xyz
'x,y,z'
'-x,-y,-z'
'-x,y,-z+1/2'
'x,-y,z+1/2'
loop_
_atom_site_label
_atom_site_type_symbol
_atom_site_fract_x
_atom_site_fract_y
_atom_site_fract_z
_atom_site_occupancy
Nd1 Nd 0.000 0.124 0.250 1
Th1 Th 0.000 0.374 0.750 1
Th2 Th 0.500 0.125 0.750 1
Th3 Th 0.500 0.375 0.250 1
Pt1 Pt 0.252 0.378 0.503 1
Pt2 Pt 0.257 0.129 0.999 1
```

***

no.,total magnetization (μB per formula unit)
1,0.00
2,0.73
3,0.00